[1]
Cu3Rh: optimized geometry, GGA-PBE.

Cell: 2.9868 2.9868 5.6477 Å, 90.00 90.00 90.00°
Sites, in units of the cell vectors:
1 Cu 0.0000 0.0000 0.0000
2 Cu 0.5000 0.5000 0.2364
3 Cu 0.5000 0.5000 0.7636
4 Rh 0.0000 0.0000 0.5000

Crystal system = tetragonal
ΔE_f = 0.06 eV per atom
Uncorrected energy = -4.849 eV per atom
Total magnetic moment = 0.00 Bohr magnetons per cell

[2]
Cu24Rh5: optimized geometry, GGA-PBE.

Cell: 7.7595 7.7595 7.7595 Å, 109.47 109.47 109.47°
Sites, in units of the cell vectors:
1 Cu 0.0000 0.3184 0.5969
2 Cu 0.0000 0.5969 0.3184
3 Cu 0.0000 0.6235 0.8092
4 Cu 0.0000 0.8092 0.6235
5 Cu 0.1858 0.3765 0.3765
6 Cu 0.1908 0.1908 0.8142
7 Cu 0.1908 0.8142 0.1908
8 Cu 0.2785 0.6816 0.6816
9 Cu 0.3184 0.0000 0.5969
10 Cu 0.3184 0.5969 0.0000
11 Cu 0.3765 0.1858 0.3765
12 Cu 0.3765 0.3765 0.1858
13 Cu 0.4031 0.4031 0.7215
14 Cu 0.4031 0.7215 0.4031
15 Cu 0.5969 0.0000 0.3184
16 Cu 0.5969 0.3184 0.0000
17 Cu 0.6235 0.0000 0.8092
18 Cu 0.6235 0.8092 0.0000
19 Cu 0.6816 0.2785 0.6816
20 Cu 0.6816 0.6816 0.2785
21 Cu 0.7215 0.4031 0.4031
22 Cu 0.8092 0.0000 0.6235
23 Cu 0.8092 0.6235 0.0000
24 Cu 0.8142 0.1908 0.1908
25 Rh 0.0000 0.0000 0.0000
26 Rh 0.0000 0.0000 0.3593
27 Rh 0.0000 0.3593 0.0000
28 Rh 0.3593 0.0000 0.0000
29 Rh 0.6407 0.6407 0.6407

Crystal system = cubic
ΔE_f = 0.04 eV per atom
Uncorrected energy = -4.619 eV per atom
Total magnetic moment = 0.00 Bohr magnetons per cell

[3]
Cu3Rh: optimized geometry, GGA-PBE.

Cell: 3.7267 3.7267 7.2792 Å, 90.00 90.00 90.00°
Sites, in units of the cell vectors:
1 Cu 0.0000 0.0000 0.0000
2 Cu 0.0000 0.5000 0.2500
3 Cu 0.0000 0.5000 0.7500
4 Cu 0.5000 0.0000 0.2500
5 Cu 0.5000 0.0000 0.7500
6 Cu 0.5000 0.5000 0.5000
7 Rh 0.0000 0.0000 0.5000
8 Rh 0.5000 0.5000 0.0000

Crystal system = tetragonal
ΔE_f = 0.03 eV per atom
Uncorrected energy = -4.875 eV per atom
Total magnetic moment = 0.00 Bohr magnetons per cell

[4]
Cu3Rh: optimized geometry, GGA-PBE.

Cell: 4.6933 4.6933 4.6933 Å, 90.00 90.00 90.00°
Sites, in units of the cell vectors:
1 Cu 0.0000 0.2500 0.5000
2 Cu 0.0000 0.7500 0.5000
3 Cu 0.2500 0.5000 0.0000
4 Cu 0.5000 0.0000 0.2500
5 Cu 0.5000 0.0000 0.7500
6 Cu 0.7500 0.5000 0.0000
7 Rh 0.0000 0.0000 0.0000
8 Rh 0.5000 0.5000 0.5000

Crystal system = cubic
ΔE_f = 0.13 eV per atom
Uncorrected energy = -4.782 eV per atom
Total magnetic moment = 0.00 Bohr magnetons per cell

[5]
Cu5Rh: optimized geometry, GGA-PBE.

Cell: 2.6238 2.6238 10.8196 Å, 90.00 90.00 90.00°
Sites, in units of the cell vectors:
1 Cu 0.0000 0.0000 0.0000
2 Cu 0.0000 0.0000 0.3246
3 Cu 0.0000 0.0000 0.6754
4 Cu 0.5000 0.5000 0.1622
5 Cu 0.5000 0.5000 0.8378
6 Rh 0.5000 0.5000 0.5000

Crystal system = tetragonal
ΔE_f = 0.03 eV per atom
Uncorrected energy = -4.606 eV per atom
Total magnetic moment = 0.30 Bohr magnetons per cell

[6]
Cu2Rh: optimized geometry, GGA-PBE.

Cell: 5.8604 5.8604 5.0050 Å, 90.00 90.00 90.00°
Sites, in units of the cell vectors:
1 Cu 0.1508 0.3492 0.0000
2 Cu 0.1508 0.6508 0.5000
3 Cu 0.3492 0.1508 0.5000
4 Cu 0.3492 0.8492 0.0000
5 Cu 0.6508 0.1508 0.0000
6 Cu 0.6508 0.8492 0.5000
7 Cu 0.8492 0.3492 0.5000
8 Cu 0.8492 0.6508 0.0000
9 Rh 0.0000 0.0000 0.2500
10 Rh 0.0000 0.0000 0.7500
11 Rh 0.5000 0.5000 0.2500
12 Rh 0.5000 0.5000 0.7500

Crystal system = tetragonal
ΔE_f = 0.35 eV per atom
Uncorrected energy = -4.831 eV per atom
Total magnetic moment = 0.00 Bohr magnetons per cell
Distance to the lowest polymorph of the same formula = 0.3119 eV per atom

[7]
Cu4Rh: optimized geometry, GGA-PBE.

Cell: 4.3504 4.3504 7.4330 Å, 90.00 90.00 90.00°
Sites, in units of the cell vectors:
1 Cu 0.0000 0.0000 0.1471
2 Cu 0.0000 0.0000 0.8529
3 Cu 0.0000 0.5000 0.2500
4 Cu 0.0000 0.5000 0.7500
5 Cu 0.5000 0.0000 0.2500
6 Cu 0.5000 0.0000 0.7500
7 Cu 0.5000 0.5000 0.3529
8 Cu 0.5000 0.5000 0.6471
9 Rh 0.0000 0.0000 0.5000
10 Rh 0.5000 0.5000 0.0000

Crystal system = tetragonal
ΔE_f = 0.51 eV per atom
Uncorrected energy = -4.242 eV per atom
Total magnetic moment = 0.00 Bohr magnetons per cell
Distance to the lowest polymorph of the same formula = 0.4843 eV per atom

[8]
Cu2Rh: optimized geometry, GGA-PBE.

Cell: 5.7971 5.7971 5.7971 Å, 90.00 90.00 90.00°
Sites, in units of the cell vectors:
1 Cu 0.1205 0.1205 0.1205
2 Cu 0.1205 0.3795 0.6205
3 Cu 0.3795 0.6205 0.1205
4 Cu 0.3795 0.8795 0.6205
5 Cu 0.6205 0.1205 0.3795
6 Cu 0.6205 0.3795 0.8795
7 Cu 0.8795 0.6205 0.3795
8 Cu 0.8795 0.8795 0.8795
9 Rh 0.0000 0.0000 0.5000
10 Rh 0.0000 0.5000 0.0000
11 Rh 0.5000 0.0000 0.0000
12 Rh 0.5000 0.5000 0.5000

Crystal system = cubic
ΔE_f = 0.83 eV per atom
Uncorrected energy = -4.348 eV per atom
Total magnetic moment = 0.00 Bohr magnetons per cell
Distance to the lowest polymorph of the same formula = 0.7950 eV per atom

[9]
Cu3Rh: optimized geometry, GGA-PBE.

Cell: 2.6042 3.6350 5.3400 Å, 90.00 90.00 90.00°
Sites, in units of the cell vectors:
1 Cu 0.0000 0.0000 0.0000
2 Cu 0.5000 0.5000 0.2412
3 Cu 0.5000 0.5000 0.7588
4 Rh 0.0000 0.0000 0.5000

Crystal system = orthorhombic
ΔE_f = 0.05 eV per atom
Uncorrected energy = -4.858 eV per atom
Total magnetic moment = 0.06 Bohr magnetons per cell

[10]
Cu3Rh: optimized geometry, GGA-PBE.

Cell: 2.6925 4.2748 4.4072 Å, 90.00 90.00 90.00°
Sites, in units of the cell vectors:
1 Cu 0.0000 0.0000 0.0000
2 Cu 0.0000 0.5000 0.3669
3 Cu 0.5000 0.0000 0.4993
4 Rh 0.5000 0.5000 0.8692

Crystal system = orthorhombic
ΔE_f = 0.04 eV per atom
Uncorrected energy = -4.869 eV per atom
Total magnetic moment = 0.00 Bohr magnetons per cell

[11]
CuRh4: optimized geometry, GGA-PBE.

Cell: 6.0362 6.0362 3.8057 Å, 90.00 90.00 90.00°
Sites, in units of the cell vectors:
1 Cu 0.0000 0.0000 0.0000
2 Cu 0.5000 0.5000 0.5000
3 Rh 0.1021 0.3005 0.5000
4 Rh 0.1995 0.6021 0.0000
5 Rh 0.3005 0.8979 0.5000
6 Rh 0.3979 0.1995 0.0000
7 Rh 0.6021 0.8005 0.0000
8 Rh 0.6995 0.1021 0.5000
9 Rh 0.8005 0.3979 0.0000
10 Rh 0.8979 0.6995 0.5000

Crystal system = tetragonal
ΔE_f = 0.04 eV per atom
Uncorrected energy = -6.664 eV per atom
Total magnetic moment = 0.00 Bohr magnetons per cell
Distance to the lowest polymorph of the same formula = 0.0121 eV per atom

[12]
Cu3Rh: optimized geometry, GGA-PBE.

Cell: 2.6345 2.6345 25.4320 Å, 90.00 90.00 120.00°
Sites, in units of the cell vectors:
1 Cu 0.0000 0.0000 0.0000
2 Cu 0.0000 0.0000 0.2526
3 Cu 0.0000 0.0000 0.7474
4 Cu 0.3333 0.6667 0.4141
5 Cu 0.3333 0.6667 0.6667
6 Cu 0.3333 0.6667 0.9193
7 Cu 0.6667 0.3333 0.0807
8 Cu 0.6667 0.3333 0.3333
9 Cu 0.6667 0.3333 0.5859
10 Rh 0.0000 0.0000 0.5000
11 Rh 0.3333 0.6667 0.1667
12 Rh 0.6667 0.3333 0.8333

Crystal system = trigonal
ΔE_f = 0.06 eV per atom
Uncorrected energy = -4.852 eV per atom
Total magnetic moment = 1.24 Bohr magnetons per cell